Entry from the Alexandria database: Pm3Nd2Y2 after structural relaxation (PBE).

Calculated values
Its space group is P-1, No. 2. The calculation puts the energy of formation at 0.014 eV/atom. Its energy above the most stable polymorph in this dataset is 0 meV/atom. The calculation puts the final energy at -36.6 eV for the cell shown.

Cell lengths 3.6349, 8.9106, 8.1423 Å; angles 68.54, 77.10, 89.99 degrees
Last column: nearest neighbours and their distance in Å.
Sites, in units of the cell vectors:
Pm1 0.1418 0.4280 0.7160  4 Y 3.62-3.63, 5 Pm 3.63-3.66, 3 Nd 3.64
Pm2 0.8582 0.5720 0.2840  4 Y 3.62-3.63, 5 Pm 3.63-3.66, 3 Nd 3.64
Pm3 0.0000 0.0000 0.0000  4 Pm 3.63, 4 Y 3.64, 4 Nd 3.64
Y1 0.4296 0.2869 0.1417  3 Y 3.62-3.63, 6 Pm 3.62-3.64, 3 Nd 3.64-3.65
Y2 0.5704 0.7131 0.8583  3 Y 3.62-3.63, 6 Pm 3.62-3.64, 3 Nd 3.64-3.65
Nd1 0.7150 0.1438 0.5710  4 Nd 3.63-3.65, 5 Pm 3.64, 3 Y 3.64-3.65
Nd2 0.2850 0.8562 0.4290  4 Nd 3.63-3.65, 5 Pm 3.64, 3 Y 3.64-3.65